[1]
CrIr2Se GGA-PBE relaxed; raw formation energy = 378 meV per atom
1.0
4.796 0.002 0.000
1.582 4.527 0.000
-3.189 -2.264 2.775
Ir Cr Se
2 1 1
Cartesian
0.791 2.264 1.388 Ir
0.000 0.000 0.000 Ir
2.398 0.001 1.388 Cr
3.189 2.264 0.000 Se

---

[2]
Sm2ScZn3 GGA-PBE relaxed; formation energy = -0.313 eV/atom
1.0
5.009 0.000 0.000
-2.504 4.338 0.000
0.000 0.000 12.376
Zn Sm Sc
6 4 2
Cartesian
2.504 1.446 7.179 Zn
0.000 2.892 5.196 Zn
0.000 0.000 9.187 Zn
0.000 2.892 11.247 Zn
2.504 1.446 1.129 Zn
0.000 0.000 3.189 Zn
0.000 0.000 0.000 Sm
0.000 2.892 2.167 Sm
0.000 0.000 6.188 Sm
2.504 1.446 10.208 Sm
0.000 2.892 8.235 Sc
2.504 1.446 4.140 Sc

---

[3]
Li2LaAl2Ga2 GGA-PBE relaxed; formation energy = -0.440 eV/atom
1.0
4.395 0.000 0.000
-2.197 3.806 -0.271
0.000 -1.933 8.221
Al Li La Ga
2 2 1 2
Cartesian
2.197 -0.845 5.626 Al
0.000 2.718 2.323 Al
0.000 0.257 3.488 Li
2.197 1.617 4.461 Li
0.000 0.000 0.000 La
0.000 0.471 6.184 Ga
2.197 1.403 1.765 Ga

---

no.,DOS at the Fermi energy (states/eV per cell),calculated total energy (eV per atom)
1,3.1,-7.33
2,14.1,-3.58
3,1.8,-3.63